This record from the Alexandria database describes Sr2AcHg2 after structural relaxation. The functional is PBE.

abc: 4.058 23.339 3.993
angles: 90.00 90.00 90.00
Space group Cmmm (No. 65)
Unique sites:
Sr  0.000  0.169  0.000
Ac  0.000  0.000  0.000
Hg  0.000  0.412  0.500

Computed properties:
* M_tot: 0.00 Bohr magnetons per cell
* VASP energy: -2.01 eV per atom
* energy of formation: -0.393 eV/atom
* DOS(E_F): 3.61 states/eV/f.u.



This record from the Alexandria database describes SrAcHg after structural relaxation. The functional is PBE.

abc: 7.899 7.899 7.899
angles: 90.00 90.00 90.00
Space group F-43m (No. 216)
Unique sites:
Sr  0.000  0.000  0.000
Ac  0.000  0.000  0.500
Hg  0.250  0.250  0.750

Computed properties:
* M_tot: 0.30 Bohr magnetons per cell
* VASP energy: -2.22 eV per atom
* energy of formation: -0.192 eV/atom
* DOS(E_F): 3.94 states/eV/f.u.



This record from the Alexandria database describes Sr2AcHg3 after structural relaxation. The functional is PBE.

abc: 4.036 4.036 12.021
angles: 90.00 90.00 90.00
Space group P4/mmm (No. 123)
Unique sites:
Sr  0.000  0.000  0.166
Ac  0.000  0.000  0.500
Hg  0.500  0.500  0.000
Hg  0.500  0.500  0.335

Computed properties:
* M_tot: 0.00 Bohr magnetons per cell
* VASP energy: -1.92 eV per atom
* energy of formation: -0.525 eV/atom
* DOS(E_F): 4.08 states/eV/f.u.



This record from the Alexandria database describes SrAc2Hg after structural relaxation. The functional is PBE.

abc: 4.1149 4.1149 35.2137
angles: 90.00 90.00 120.00
Space group R3m (No. 160, hexagonal axes)
Unique sites:
Sr  0.0000  0.0000  0.0000
Ac  0.0000  0.0000  0.2346
Ac  0.0000  0.0000  0.4302
Hg  0.0000  0.0000  0.8326

Computed properties:
* M_tot: 0.01 Bohr magnetons per cell
* VASP energy: -2.67 eV per atom
* energy of formation: -0.125 eV/atom
* DOS(E_F): 5.01 states/eV/f.u.